(1)
Below is a geometry-optimized Ca2ThPaP4 structure, with properties calculated at the PBE-GGA level.

a b c (Å): 7.0615 4.1244 7.1355
angles (deg): 90.00 109.64 90.00
Closest atoms and distances in Å follow each position.
Positions (direct):
Ca (0.0000, 0.0000, 0.0000)  6 P 2.92-2.93
Ca (0.0000, 0.5000, 0.5000)  6 P 3.00-3.01
Th (0.5000, 0.0000, 0.5000)  6 P 2.89
Pa (0.5000, 0.5000, 0.0000)  6 P 2.79-2.81
P (0.2632, 0.5000, 0.2438)  1 Pa 2.79, 2 Th 2.89, 3 Ca 2.93-3.01
P (0.2681, 0.0000, 0.7656)  2 Pa 2.81, 1 Th 2.89, 3 Ca 2.92-3.00
P (0.7319, 0.0000, 0.2344)  2 Pa 2.81, 1 Th 2.89, 3 Ca 2.92-3.00
P (0.7368, 0.5000, 0.7562)  1 Pa 2.79, 2 Th 2.89, 3 Ca 2.93-3.01

**Spin magnetization**: 0.000 μB/f.u.
**Uncorrected energy**: -6.644 eV per atom
**Formation enthalpy at 0 K**: -1324 meV/atom
**Volume**: 195.7 Å³/f.u.
**SG**: P2/m (10)

=====

(2)
Below is a geometry-optimized Ca3Th2PaP6 structure, with properties calculated at the PBE-GGA level.

a b c (Å): 7.1782 7.1782 7.0897
angles (deg): 99.73 99.73 119.99
Closest atoms and distances in Å follow each position.
Positions (direct):
Ca (0.0000, 0.0000, 0.0000)  6 P 2.94-3.04
Ca (0.3317, 0.6683, 0.0000)  6 P 2.94-3.02
Ca (0.6683, 0.3317, 0.0000)  6 P 2.94-3.02
Th (0.1664, 0.8336, 0.5000)  6 P 2.89-2.90
Th (0.8336, 0.1664, 0.5000)  6 P 2.89-2.90
Pa (0.5000, 0.5000, 0.5000)  6 P 2.79-2.80
P (0.0989, 0.4214, 0.2636)  1 Pa 2.80, 2 Th 2.90, 3 Ca 2.94-3.02
P (0.2566, 0.2566, 0.7351)  1 Pa 2.79, 2 Th 2.89, 3 Ca 2.96-3.04
P (0.4214, 0.0989, 0.2636)  1 Pa 2.80, 2 Th 2.90, 3 Ca 2.94-3.02
P (0.5786, 0.9011, 0.7364)  1 Pa 2.80, 2 Th 2.90, 3 Ca 2.94-3.02
P (0.7434, 0.7434, 0.2649)  1 Pa 2.79, 2 Th 2.89, 3 Ca 2.96-3.04
P (0.9011, 0.5786, 0.7364)  1 Pa 2.80, 2 Th 2.90, 3 Ca 2.94-3.02

**Spin magnetization**: 0.000 μB/f.u.
**Uncorrected energy**: -6.589 eV per atom
**Formation enthalpy at 0 K**: -1356 meV/atom
**Volume**: 297.8 Å³/f.u.
**SG**: C2/m (12)

=====

(3)
Below is a geometry-optimized CaThPa2P4 structure, with properties calculated at the PBE-GGA level.

a b c (Å): 7.0064 4.0489 7.0183
angles (deg): 90.00 109.45 90.00
Closest atoms and distances in Å follow each position.
Positions (direct):
Ca (0.0000, 0.0000, 0.0000)  6 P 2.90-2.92
Th (0.5000, 0.5000, 0.0000)  6 P 2.92-2.93
Pa (0.0000, 0.5000, 0.5000)  6 P 2.80-2.81
Pa (0.5000, 0.0000, 0.5000)  6 P 2.81-2.82
P (0.2437, 0.0000, 0.7366)  3 Pa 2.81-2.82, 1 Ca 2.90, 2 Th 2.92
P (0.2549, 0.5000, 0.2656)  3 Pa 2.80-2.81, 2 Ca 2.92, 1 Th 2.93
P (0.7451, 0.5000, 0.7344)  3 Pa 2.80-2.81, 2 Ca 2.92, 1 Th 2.93
P (0.7563, 0.0000, 0.2634)  3 Pa 2.81-2.82, 1 Ca 2.90, 2 Th 2.92

**Spin magnetization**: 0.000 μB/f.u.
**Uncorrected energy**: -7.588 eV per atom
**Formation enthalpy at 0 K**: -1332 meV/atom
**Volume**: 187.7 Å³/f.u.
**SG**: P2/m (10)